<A>
InSnCl2: optimized geometry, PBE.

Unit cell a=4.8938 b=4.8938 c=19.2117 alpha=90.00 beta=90.00 gamma=90.00
Closest atoms and distances in Å follow each position.
Space group I-42d (No. 122)
Inequivalent atoms, fractional coordinates:
In1 0.0000 0.0000 0.0000 [4 per cell]  4 Cl 2.99
Sn1 0.0000 0.0000 0.5000 [4 per cell]  4 Cl 2.93
Cl1 0.2373 0.2500 0.6250 [8 per cell]  2 Sn 2.93, 2 In 2.99

Computed properties:
Spin magnetization (μB/cell): 0.00
DOS(E_F) (states/eV per atom): 0.686

---

<B>
InSnCl2: optimized geometry, PBE.

Unit cell a=7.4862 b=7.4862 c=7.4862 alpha=90.00 beta=90.00 gamma=90.00
Closest atoms and distances in Å follow each position.
Space group Fm-3m (No. 225)
Inequivalent atoms, fractional coordinates:
In1 0.0000 0.0000 0.0000 [4 per cell]  8 Cl 3.24
Sn1 0.0000 0.0000 0.5000 [4 per cell]  8 Cl 3.24
Cl1 0.2500 0.2500 0.2500 [8 per cell]  4 In 3.24, 4 Sn 3.24

Computed properties:
Spin magnetization (μB/cell): 0.00
DOS(E_F) (states/eV per atom): 0.599

---

Tell me which of them is the least stable. Sure, it is <B>.